# 1
# PBE K2IO9, relaxed
# Spin magnetization ... 3.0 μB/f.u.
# V ... 20.38 Å³ per atom
# Formation energy (no corrections) ... -0.5336 eV per atom
# Uncorrected energy ... -4.564 eV per atom
data_K2IO9
_chemical_formula_sum 'K4 I2 O18'
_space_group_name_H-M_alt 'P -1'
_space_group_IT_number 2
_cell_length_a 7.788
_cell_length_b 7.977
_cell_length_c 9.255
_cell_angle_alpha 99.96
_cell_angle_beta 94.95
_cell_angle_gamma 118.28
loop_
_space_group_symop_operation_xyz
'x,y,z'
'-x,-y,-z'
loop_
_atom_site_label
_atom_site_type_symbol
_atom_site_fract_x
_atom_site_fract_y
_atom_site_fract_z
K1 K 0.114 0.289 0.174
K2 K 0.208 0.958 0.430
I1 I 0.305 0.566 0.629
O1 O 0.025 0.878 0.127
O2 O 0.074 0.513 0.689
O3 O 0.125 0.019 0.705
O4 O 0.149 0.163 0.823
O5 O 0.256 0.354 0.488
O6 O 0.307 0.687 0.074
O7 O 0.389 0.775 0.549
O8 O 0.432 0.861 0.128
O9 O 0.491 0.619 0.785

# 2
# PBE TaW2Cl, relaxed
# Spin magnetization ... 0.0 μB/f.u.
# V ... 16.93 Å³ per atom
# Formation energy (no corrections) ... 1.1684 eV per atom
# Uncorrected energy ... -8.733 eV per atom
# Energy above the lowest structure with this stoichiometry ... 933 meV per atom
data_TaW2Cl
_chemical_formula_sum 'Ta4 W8 Cl4'
_space_group_name_H-M_alt 'F m -3 m'
_space_group_IT_number 225
_space_group_name_Hall '-F 4 2 3'
_cell_length_a 6.470
_cell_length_b 6.470
_cell_length_c 6.470
_cell_angle_alpha 90.00
_cell_angle_beta 90.00
_cell_angle_gamma 90.00
loop_
_atom_site_label
_atom_site_type_symbol
_atom_site_fract_x
_atom_site_fract_y
_atom_site_fract_z
Ta1 Ta 0.000 0.000 0.000
W1 W 0.250 0.250 0.250
Cl1 Cl 0.000 0.000 0.500

# 3
# PBE V2PtSe2, relaxed
# Spin magnetization ... 2.1 μB/f.u.
# V ... 15.59 Å³ per atom
# Formation energy (no corrections) ... -0.1186 eV per atom
# Uncorrected energy ... -6.368 eV per atom
# Energy above the lowest structure with this stoichiometry ... 0 meV per atom
data_V2PtSe2
_chemical_formula_sum 'V4 Pt2 Se4'
_space_group_name_H-M_alt 'P 4/m b m'
_space_group_IT_number 127
_space_group_name_Hall '-P 4 2ab'
_cell_length_a 7.133
_cell_length_b 7.133
_cell_length_c 3.064
_cell_angle_alpha 90.00
_cell_angle_beta 90.00
_cell_angle_gamma 90.00
loop_
_atom_site_label
_atom_site_type_symbol
_atom_site_fract_x
_atom_site_fract_y
_atom_site_fract_z
V1 V 0.148 0.352 0.000
Pt1 Pt 0.000 0.000 0.500
Se1 Se 0.149 0.649 0.500

# 4
# PBE ZnTeSe, relaxed
# Spin magnetization ... 0.0 μB/f.u.
# V ... 30.41 Å³ per atom
# Formation energy (no corrections) ... -0.2502 eV per atom
# Uncorrected energy ... -2.884 eV per atom
# Energy above the lowest structure with this stoichiometry ... 93 meV per atom
data_ZnTeSe
_chemical_formula_sum 'Zn2 Te2 Se2'
_space_group_name_H-M_alt 'P 1'
_space_group_IT_number 1
_cell_length_a 3.822
_cell_length_b 6.119
_cell_length_c 8.182
_cell_angle_alpha 72.46
_cell_angle_beta 90.00
_cell_angle_gamma 89.79
loop_
_space_group_symop_operation_xyz
'x,y,z'
loop_
_atom_site_label
_atom_site_type_symbol
_atom_site_fract_x
_atom_site_fract_y
_atom_site_fract_z
Zn1 Zn 0.000 0.000 0.000
Zn2 Zn 0.500 0.119 0.610
Te1 Te 0.499 0.287 0.273
Te2 Te 0.999 0.380 0.736
Se1 Se 0.001 0.852 0.744
Se2 Se 0.501 0.902 0.202